(1)
# Cs3Zr3PaSe8 PBE optimized geometry
# Uncorrected energy ... -257.9 eV/cell
# Energy relative to the elements, uncorrected ... -20.38 eV/f.u.
# Magnetic moment ... 6.071 μB/cell
# N(E_F) ... 10.5 states/eV/f.u.
data_Cs3Zr3PaSe8
_space_group_name_H-M_alt 'R -3 m'
_space_group_IT_number 166
_space_group_name_Hall '-R 3 2"'
_cell_length_a 7.8866
_cell_length_b 7.8866
_cell_length_c 25.9280
_cell_angle_alpha 90.00
_cell_angle_beta 90.00
_cell_angle_gamma 120.00
loop_
_atom_site_label
_atom_site_fract_x
_atom_site_fract_y
_atom_site_fract_z
Cs1 0.0000 0.5000 0.0000
Zr1 0.0000 0.5000 0.5000
Pa1 0.0000 0.0000 0.5000
Se1 0.0000 0.0000 0.2277
Se2 0.0126 0.5063 0.7705

(2)
# ZnS2O PBE optimized geometry
# Uncorrected energy ... -54.8 eV/cell
# Energy relative to the elements, uncorrected ... 0.80 eV/f.u.
# Magnetic moment ... 0.000 μB/cell
# N(E_F) ... 0.6 states/eV/f.u.
data_ZnS2O
_space_group_name_H-M_alt 'I -4 2 d'
_space_group_IT_number 122
_space_group_name_Hall 'I -4 2bw'
_cell_length_a 4.867
_cell_length_b 4.867
_cell_length_c 11.685
_cell_angle_alpha 90.00
_cell_angle_beta 90.00
_cell_angle_gamma 90.00
loop_
_atom_site_label
_atom_site_fract_x
_atom_site_fract_y
_atom_site_fract_z
Zn1 0.000 0.000 0.000
S1 0.178 0.250 0.625
O1 0.000 0.000 0.500

(3)
# DyHRu PBE optimized geometry
# Uncorrected energy ... -282.6 eV/cell
# Magnetic moment ... 0.000 μB/cell
# N(E_F) ... 2.3 states/eV/f.u.
data_DyHRu
_space_group_name_H-M_alt 'F d d d'
_space_group_IT_number 70
_cell_length_a 3.093
_cell_length_b 13.839
_cell_length_c 16.586
_cell_angle_alpha 90.00
_cell_angle_beta 90.00
_cell_angle_gamma 90.00
loop_
_space_group_symop_operation_xyz
'x,y,z'
'-x,-y,-z'
'-x+1/4,-y+1/4,z'
'x+1/4,y+1/4,-z'
'x,-y+1/4,-z+1/4'
'-x,y+1/4,z+1/4'
'-x+1/4,y,-z+1/4'
'x+1/4,-y,z+1/4'
'x,y+1/2,z+1/2'
'-x,-y+1/2,-z+1/2'
'-x+1/4,-y+3/4,z+1/2'
'x+1/4,y+3/4,-z+1/2'
'x,-y+3/4,-z+3/4'
'-x,y+3/4,z+3/4'
'-x+1/4,y+1/2,-z+3/4'
'x+1/4,-y+1/2,z+3/4'
'x+1/2,y,z+1/2'
'-x+1/2,-y,-z+1/2'
'-x+3/4,-y+1/4,z+1/2'
'x+3/4,y+1/4,-z+1/2'
'x+1/2,-y+1/4,-z+3/4'
'-x+1/2,y+1/4,z+3/4'
'-x+3/4,y,-z+3/4'
'x+3/4,-y,z+3/4'
'x+1/2,y+1/2,z'
'-x+1/2,-y+1/2,-z'
'-x+3/4,-y+3/4,z'
'x+3/4,y+3/4,-z'
'x+1/2,-y+3/4,-z+1/4'
'-x+1/2,y+3/4,z+1/4'
'-x+3/4,y+1/2,-z+1/4'
'x+3/4,-y+1/2,z+1/4'
loop_
_atom_site_label
_atom_site_fract_x
_atom_site_fract_y
_atom_site_fract_z
Dy1 0.125 0.125 0.018
H1 0.125 0.037 0.625
Ru1 0.125 0.291 0.125

(4)
# Zn2CrTc PBE optimized geometry
# Uncorrected energy ... -64.4 eV/cell
# Formation enthalpy at 0 K ... 103 kJ/mol of formula units
# Magnetic moment ... 4.744 μB/cell
# N(E_F) ... 3.4 states/eV/f.u.
data_Zn2CrTc
_space_group_name_H-M_alt 'R -3 m'
_space_group_IT_number 166
_space_group_name_Hall '-R 3 2"'
_cell_length_a 2.6977
_cell_length_b 2.6977
_cell_length_c 26.6041
_cell_angle_alpha 90.00
_cell_angle_beta 90.00
_cell_angle_gamma 120.00
loop_
_atom_site_label
_atom_site_fract_x
_atom_site_fract_y
_atom_site_fract_z
Zn1 0.0000 0.0000 0.2489
Cr1 0.0000 0.0000 0.5000
Tc1 0.0000 0.0000 0.0000

(5)
# EuMgPdPt PBE optimized geometry
# Uncorrected energy ... -103.2 eV/cell
# Formation enthalpy at 0 K ... -260 kJ/mol of formula units
# Magnetic moment ... 27.779 μB/cell
# N(E_F) ... 11.0 states/eV/f.u.
data_EuMgPdPt
_space_group_name_H-M_alt 'F -4 3 m'
_space_group_IT_number 216
_space_group_name_Hall 'F -4 2 3'
_cell_length_a 6.848
_cell_length_b 6.848
_cell_length_c 6.848
_cell_angle_alpha 90.00
_cell_angle_beta 90.00
_cell_angle_gamma 90.00
loop_
_atom_site_label
_atom_site_fract_x
_atom_site_fract_y
_atom_site_fract_z
Eu1 0.000 0.000 0.000
Mg1 0.000 0.000 0.500
Pd1 0.250 0.250 0.250
Pt1 0.250 0.250 0.750

(6)
# Y2BeNi6B PBE optimized geometry
# Uncorrected energy ... -124.0 eV/cell
# Formation enthalpy at 0 K ... -382 kJ/mol of formula units
# Magnetic moment ... 0.000 μB/cell
# N(E_F) ... 4.5 states/eV/f.u.
data_Y2BeNi6B
_space_group_name_H-M_alt 'C 1 2/m 1'
_space_group_IT_number 12
_cell_length_a 9.218
_cell_length_b 5.324
_cell_length_c 6.371
_cell_angle_alpha 90.00
_cell_angle_beta 118.93
_cell_angle_gamma 90.00
loop_
_space_group_symop_operation_xyz
'x,y,z'
'-x,-y,-z'
'-x,y,-z'
'x,-y,z'
'x+1/2,y+1/2,z'
'-x+1/2,-y+1/2,-z'
'-x+1/2,y+1/2,-z'
'x+1/2,-y+1/2,z'
loop_
_atom_site_label
_atom_site_fract_x
_atom_site_fract_y
_atom_site_fract_z
Y1 0.220 0.000 0.161
Be1 0.000 0.500 0.000
Ni1 0.029 0.270 0.317
Ni2 0.241 0.000 0.683
B1 0.000 0.000 0.500

(7)
# CaFeCl2 PBE optimized geometry
# Uncorrected energy ... -34.2 eV/cell
# Energy relative to the elements, uncorrected ... -2.96 eV/f.u.
# Magnetic moment ... 4.016 μB/cell
# N(E_F) ... 2.9 states/eV/f.u.
data_CaFeCl2
_space_group_name_H-M_alt 'I m m m'
_space_group_IT_number 71
_space_group_name_Hall '-I 2 2'
_cell_length_a 3.709
_cell_length_b 4.654
_cell_length_c 11.638
_cell_angle_alpha 90.00
_cell_angle_beta 90.00
_cell_angle_gamma 90.00
loop_
_atom_site_label
_atom_site_fract_x
_atom_site_fract_y
_atom_site_fract_z
Ca1 0.000 0.000 0.000
Fe1 0.000 0.000 0.500
Cl1 0.000 0.500 0.139

(8)
# Pm2ReAu PBE optimized geometry
# Uncorrected energy ... -25.9 eV/cell
# Formation enthalpy at 0 K ... -68 kJ/mol of formula units
# Magnetic moment ... 0.000 μB/cell
# N(E_F) ... 2.5 states/eV/f.u.
data_Pm2ReAu
_space_group_name_H-M_alt 'P 4/m m m'
_space_group_IT_number 123
_space_group_name_Hall '-P 4 2'
_cell_length_a 3.534
_cell_length_b 3.534
_cell_length_c 7.529
_cell_angle_alpha 90.00
_cell_angle_beta 90.00
_cell_angle_gamma 90.00
loop_
_atom_site_label
_atom_site_fract_x
_atom_site_fract_y
_atom_site_fract_z
Pm1 0.000 0.000 0.229
Re1 0.500 0.500 0.000
Au1 0.500 0.500 0.500

(9)
# Ac3H2Pb2 PBE optimized geometry
# Uncorrected energy ... -59.4 eV/cell
# Magnetic moment ... 0.000 μB/cell
# N(E_F) ... 2.4 states/eV/f.u.
data_Ac3H2Pb2
_space_group_name_H-M_alt 'P 1 21/c 1'
_space_group_IT_number 14
_cell_length_a 7.150
_cell_length_b 8.778
_cell_length_c 7.458
_cell_angle_alpha 90.00
_cell_angle_beta 119.42
_cell_angle_gamma 90.00
loop_
_space_group_symop_operation_xyz
'x,y,z'
'-x,-y,-z'
'-x,y+1/2,-z+1/2'
'x,-y+1/2,z+1/2'
loop_
_atom_site_label
_atom_site_fract_x
_atom_site_fract_y
_atom_site_fract_z
Ac1 0.000 0.000 0.000
Ac2 0.345 0.088 0.701
H1 0.350 0.121 0.067
Pb1 0.234 0.728 0.888

(10)
# PmNd2Ho6 PBE optimized geometry
# Uncorrected energy ... -81.6 eV/cell
# Formation enthalpy at 0 K ... 92 kJ/mol of formula units
# Magnetic moment ... 0.000 μB/cell
# N(E_F) ... 14.2 states/eV/f.u.
data_PmNd2Ho6
_space_group_name_H-M_alt 'C 1 2/m 1'
_space_group_IT_number 12
_cell_length_a 16.643
_cell_length_b 10.315
_cell_length_c 3.496
_cell_angle_alpha 90.00
_cell_angle_beta 102.07
_cell_angle_gamma 90.00
loop_
_space_group_symop_operation_xyz
'x,y,z'
'-x,-y,-z'
'-x,y,-z'
'x,-y,z'
'x+1/2,y+1/2,z'
'-x+1/2,-y+1/2,-z'
'-x+1/2,y+1/2,-z'
'x+1/2,-y+1/2,z'
loop_
_atom_site_label
_atom_site_fract_x
_atom_site_fract_y
_atom_site_fract_z
Pm1 0.000 0.000 0.000
Nd1 0.157 0.500 0.156
Ho1 0.000 0.313 0.500
Ho2 0.178 0.167 0.179

(11)
# LaYBiAs PBE optimized geometry
# Uncorrected energy ... -74.7 eV/cell
# Formation enthalpy at 0 K ... -480 kJ/mol of formula units
# Magnetic moment ... 0.000 μB/cell
# N(E_F) ... 0.6 states/eV/f.u.
data_LaYBiAs
_space_group_name_H-M_alt 'R 3 m'
_space_group_IT_number 160
_space_group_name_Hall 'R 3 -2"'
_cell_length_a 4.3990
_cell_length_b 4.3990
_cell_length_c 21.8326
_cell_angle_alpha 90.00
_cell_angle_beta 90.00
_cell_angle_gamma 120.00
loop_
_atom_site_label
_atom_site_fract_x
_atom_site_fract_y
_atom_site_fract_z
La1 0.0000 0.0000 0.0000
Y1 0.0000 0.0000 0.4854
Bi1 0.0000 0.0000 0.2382
As1 0.0000 0.0000 0.7462

(12)
# CoBr PBE optimized geometry
# Uncorrected energy ... -51.8 eV/cell
# Energy relative to the elements, uncorrected ... 0.15 eV/f.u.
# Magnetic moment ... 12.188 μB/cell
# N(E_F) ... 1.5 states/eV/f.u.
data_CoBr
_space_group_name_H-M_alt 'C 1 m 1'
_space_group_IT_number 8
_cell_length_a 11.171
_cell_length_b 3.625
_cell_length_c 8.718
_cell_angle_alpha 90.00
_cell_angle_beta 110.82
_cell_angle_gamma 90.00
loop_
_space_group_symop_operation_xyz
'x,y,z'
'x,-y,z'
'x+1/2,y+1/2,z'
'x+1/2,-y+1/2,z'
loop_
_atom_site_label
_atom_site_fract_x
_atom_site_fract_y
_atom_site_fract_z
Co1 0.000 0.000 0.000
Co2 0.030 0.000 0.756
Co3 0.411 0.000 0.814
Br1 0.100 0.500 0.185
Br2 0.265 0.500 0.861
Br3 0.440 0.000 0.553